[1]
The following is a DFT calculation (PBE) of a relaxed structure of Dy8Tm4Sc.

For the density of states at the Fermi level, the calculation gives 55.2 states/eV/cell. For the total moment, the calculation gives 0.000 μB per cell. As for the energy of formation from the pure elements: 0.20 eV/atom. Its calculated volume is 1205 Å³/cell. The final energy comes out at -175.39 eV/cell.

The structure belongs to space group R-3m (No. 166, hexagonal axes); the cell edges are 7.1793, 7.1793 and 26.9949 Å and the angles 90.00°, 90.00° and 120.00°. The asymmetric unit holds Dy at (0.0000, 0.0000, 0.2163), Dy at (0.0299, 0.5149, 0.7680), Tm at (0.0000, 0.0000, 0.0000), Tm at (0.0000, 0.5000, 0.0000) and Sc at (0.0000, 0.0000, 0.5000).



[2]
The following is a DFT calculation (PBE) of a relaxed structure of Dy5Tm6Sc.

For the density of states at the Fermi level, the calculation gives 32.6 states/eV/cell. For the total moment, the calculation gives 0.000 μB per cell. As for the energy of formation from the pure elements: 0.03 eV/atom. Its calculated volume is 722 Å³/cell. The final energy comes out at -111.61 eV/cell.

The structure belongs to space group C2/m (No. 12); the cell edges are 11.0208, 14.8549 and 4.9309 Å and the angles 90.00°, 116.50° and 90.00°. The asymmetric unit holds Dy at (0.0000, 0.0000, 0.0000), Dy at (0.0000, 0.1661, 0.5000), Dy at (0.0000, 0.3355, 0.0000), Tm at (0.2463, 0.5000, 0.2463), Tm at (0.2481, 0.3343, 0.7481) and Sc at (0.0000, 0.5000, 0.5000).



[3]
The following is a DFT calculation (PBE) of a relaxed structure of DyTm6Sc8.

The energy above the most stable polymorph in this dataset is 105 meV per atom. For the density of states at the Fermi level, the calculation gives 73.4 states/eV/cell. For the total moment, the calculation gives 0.000 μB per cell. As for the energy of formation from the pure elements: 0.14 eV/atom. Its calculated volume is 1239 Å³/cell. The final energy comes out at -239.86 eV/cell.

The structure belongs to space group R-3 (No. 148, hexagonal axes); the cell edges are 8.5310, 8.5310 and 19.6548 Å and the angles 90.00°, 90.00° and 120.00°. The asymmetric unit holds Dy at (0.0000, 0.0000, 0.0000), Tm at (0.0681, 0.2496, 0.7096), Sc at (0.0000, 0.0000, 0.4256) and Sc at (0.0803, 0.5535, 0.8098).



[4]
The following is a DFT calculation (PBE) of a relaxed structure of Dy8Tm6Sc.

The energy above the most stable polymorph in this dataset is 51 meV per atom. For the density of states at the Fermi level, the calculation gives 63.2 states/eV/cell. For the total moment, the calculation gives 0.001 μB per cell. As for the energy of formation from the pure elements: 0.20 eV/atom. Its calculated volume is 1392 Å³/cell. The final energy comes out at -200.89 eV/cell.

The structure belongs to space group R-3 (No. 148, hexagonal axes); the cell edges are 9.5773, 9.5773 and 17.5228 Å and the angles 90.00°, 90.00° and 120.00°. The asymmetric unit holds Dy at (0.0000, 0.0000, 0.0890), Dy at (0.0581, 0.2395, 0.6716), Tm at (0.0353, 0.2940, 0.1786) and Sc at (0.0000, 0.0000, 0.5000).



[5]
The following is a DFT calculation (PBE) of a relaxed structure of Dy2TmSc.

The energy above the most stable polymorph in this dataset is 10 meV per atom. For the density of states at the Fermi level, the calculation gives 6.4 states/eV/cell. For the total moment, the calculation gives 0.000 μB per cell. As for the energy of formation from the pure elements: 0.04 eV/atom. Its calculated volume is 117 Å³/cell. The final energy comes out at -19.84 eV/cell.

The structure belongs to space group P4/mmm (No. 123); the cell edges are 4.9079, 4.9079 and 4.8567 Å and the angles 90.00°, 90.00° and 90.00°. The asymmetric unit holds Dy at (0.0000, 0.5000, 0.0000), Tm at (0.0000, 0.0000, 0.5000) and Sc at (0.5000, 0.5000, 0.5000).



[6]
The following is a DFT calculation (PBE) of a relaxed structure of DyTm2Sc.

The energy above the most stable polymorph in this dataset is 33 meV per atom. For the density of states at the Fermi level, the calculation gives 19.9 states/eV/cell. For the total moment, the calculation gives 0.000 μB per cell. As for the energy of formation from the pure elements: 0.05 eV/atom. Its calculated volume is 347 Å³/cell. The final energy comes out at -59.09 eV/cell.

The structure belongs to space group R-3m (No. 166, hexagonal axes); the cell edges are 3.4568, 3.4568 and 33.5595 Å and the angles 90.00°, 90.00° and 120.00°. The asymmetric unit holds Dy at (0.0000, 0.0000, 0.0000), Tm at (0.0000, 0.0000, 0.2471) and Sc at (0.0000, 0.0000, 0.5000).



[7]
The following is a DFT calculation (PBE) of a relaxed structure of Dy2Tm5Sc5.

The energy above the most stable polymorph in this dataset is 0 meV per atom. For the density of states at the Fermi level, the calculation gives 36.6 states/eV/cell. For the total moment, the calculation gives 0.000 μB per cell. As for the energy of formation from the pure elements: 0.05 eV/atom. Its calculated volume is 668 Å³/cell. The final energy comes out at -125.23 eV/cell.

The structure belongs to space group C2/m (No. 12); the cell edges are 14.4341, 4.8026 and 10.7678 Å and the angles 90.00°, 116.50° and 90.00°. The asymmetric unit holds Dy at (0.0835, 0.0000, 0.2462), Tm at (0.0000, 0.5000, 0.0000), Tm at (0.0875, 0.5000, 0.7520), Tm at (0.1651, 0.5000, 0.4997), Sc at (0.0000, 0.0000, 0.5000), Sc at (0.1706, 0.0000, 0.0011) and Sc at (0.2493, 0.0000, 0.7530).



[8]
The following is a DFT calculation (PBE) of a relaxed structure of DyTm6Sc.

The energy above the most stable polymorph in this dataset is 3 meV per atom. For the density of states at the Fermi level, the calculation gives 25.4 states/eV/cell. For the total moment, the calculation gives 0.021 μB per cell. As for the energy of formation from the pure elements: 0.22 eV/atom. Its calculated volume is 478 Å³/cell. The final energy comes out at -72.06 eV/cell.

The structure belongs to space group C2/m (No. 12); the cell edges are 6.3940, 11.3708 and 6.5832 Å and the angles 90.00°, 91.35° and 90.00°. The asymmetric unit holds Dy at (0.0000, 0.0000, 0.0000), Tm at (0.0319, 0.5000, 0.7480), Tm at (0.1982, 0.2271, 0.7456) and Sc at (0.0000, 0.0000, 0.5000).



Q: final energy of number 3 (DyTm6Sc8)?
A: -239.86 eV/cell



Q: total moment of number 5 (Dy2TmSc)?
A: 0.000 μB per cell



Repeat the fourth record exactly.
The following is a DFT calculation (PBE) of a relaxed structure of Dy8Tm6Sc.

The energy above the most stable polymorph in this dataset is 51 meV per atom. For the density of states at the Fermi level, the calculation gives 63.2 states/eV/cell. For the total moment, the calculation gives 0.001 μB per cell. As for the energy of formation from the pure elements: 0.20 eV/atom. Its calculated volume is 1392 Å³/cell. The final energy comes out at -200.89 eV/cell.

The structure belongs to space group R-3 (No. 148, hexagonal axes); the cell edges are 9.5773, 9.5773 and 17.5228 Å and the angles 90.00°, 90.00° and 120.00°. The asymmetric unit holds Dy at (0.0000, 0.0000, 0.0890), Dy at (0.0581, 0.2395, 0.6716), Tm at (0.0353, 0.2940, 0.1786) and Sc at (0.0000, 0.0000, 0.5000).